A plane-wave DFT calculation with PBE was carried out for a relaxed Sr2InP crystal.

The excess energy over the best structure of this formula in the dataset comes out at 610.6 meV per atom. As for the crystal system: cubic.

It has space group F-43m (No. 216), with a = 7.830 Å, b = 7.830 Å, c = 7.830 Å, α = 90.00°, β = 90.00° and γ = 90.00°. The asymmetric unit holds Sr at (0.000, 0.000, 0.000), Sr at (0.250, 0.250, 0.250), In at (0.000, 0.000, 0.500) and P at (0.250, 0.250, 0.750).

A plane-wave DFT calculation with PBE was carried out for a relaxed SrInP3 crystal.

The excess energy over the best structure of this formula in the dataset comes out at 764.4 meV per atom. As for the crystal system: cubic.

It has space group Pm-3m (No. 221), with a = 5.507 Å, b = 5.507 Å, c = 5.507 Å, α = 90.00°, β = 90.00° and γ = 90.00°. The asymmetric unit holds Sr at (0.000, 0.000, 0.000), In at (0.500, 0.500, 0.500) and P at (0.000, 0.000, 0.500).

A plane-wave DFT calculation with PBE was carried out for a relaxed SrIn2P crystal.

The calculation puts the total energy at -14.04 eV/f.u. As for the crystal system: tetragonal.

It has space group I-42d (No. 122), with a = 8.500 Å, b = 8.500 Å, c = 6.193 Å, α = 90.00°, β = 90.00° and γ = 90.00°. The asymmetric unit holds Sr at (0.000, 0.000, 0.000), In at (0.190, 0.750, 0.625) and P at (0.000, 0.000, 0.500).

A plane-wave DFT calculation with PBE was carried out for a relaxed SrIn2P crystal.

The calculation puts the total energy at -13.83 eV/f.u. As for the crystal system: tetragonal.

It has space group P4/mmm (No. 123), with a = 4.424 Å, b = 4.424 Å, c = 5.385 Å, α = 90.00°, β = 90.00° and γ = 90.00°. The asymmetric unit holds Sr at (0.000, 0.000, 0.000), In at (0.000, 0.500, 0.500) and P at (0.500, 0.500, 0.000).